Version 1
Here is a geometry-optimized Fe2IF structure from Alexandria via LeMat-Bulk. Energies are from PBE+U.

a b c (Å): 4.614 4.614 4.614
angles (deg): 60.00 60.00 60.00
Sites, in units of the cell vectors:
1 I 0.500 0.500 0.500
2 Fe 0.250 0.250 0.250
3 Fe 0.750 0.750 0.750
4 F 0.000 0.000 0.000

Calculated values
theoretical density = 6.16 g/cm³
crystal system = cubic



Version 2
Here is a geometry-optimized Fe2IF structure from Alexandria via LeMat-Bulk. Energies are from PBE+U.

a b c (Å): 5.010 5.010 7.533
angles (deg): 70.58 70.58 90.00
Sites, in units of the cell vectors:
1 I 0.000 0.000 0.000
2 I 0.750 0.250 0.500
3 Fe 0.503 0.125 0.250
4 Fe 0.247 0.625 0.250
5 Fe 0.375 0.497 0.750
6 Fe 0.875 0.753 0.750
7 F 0.500 0.500 0.000
8 F 0.250 0.750 0.500

Calculated values
theoretical density = 5.13 g/cm³
crystal system = tetragonal



In meV per atom, relative to the most stable structure: version 1 161; version 2 0.



Version 1
Here is a geometry-optimized FeINF2 structure from Alexandria via LeMat-Bulk. Energies are from PBE+U.

a b c (Å): 4.856 4.856 4.044
angles (deg): 90.00 90.00 90.00
Sites, in units of the cell vectors:
1 I 0.000 0.000 0.000
2 N 0.000 0.000 0.500
3 Fe 0.500 0.500 0.500
4 F 0.000 0.500 0.000
5 F 0.500 0.000 0.000

Calculated values
theoretical density = 4.09 g/cm³
crystal system = tetragonal



Version 2
Here is a geometry-optimized FeINF2 structure from Alexandria via LeMat-Bulk. Energies are from PBE+U.

a b c (Å): 3.827 3.827 5.207
angles (deg): 90.00 90.00 90.00
Sites, in units of the cell vectors:
1 I 0.500 0.500 0.500
2 N 0.000 0.000 0.500
3 Fe 0.000 0.000 0.000
4 F 0.000 0.500 0.000
5 F 0.500 0.000 0.000

Calculated values
theoretical density = 5.11 g/cm³
crystal system = tetragonal



In meV per atom, relative to the most stable structure: version 1 893; version 2 0.



Version 1
Here is a geometry-optimized FeIN2F structure from Alexandria via LeMat-Bulk. Energies are from PBE+U.

a b c (Å): 4.099 4.099 3.894
angles (deg): 90.00 90.00 90.00
Sites, in units of the cell vectors:
1 I 0.500 0.500 0.500
2 N 0.000 0.500 0.000
3 N 0.500 0.000 0.000
4 Fe 0.000 0.000 0.000
5 F 0.000 0.000 0.500

Calculated values
theoretical density = 5.83 g/cm³
crystal system = tetragonal



Version 2
Here is a geometry-optimized FeIN2F structure from Alexandria via LeMat-Bulk. Energies are from PBE+U.

a b c (Å): 4.159 4.159 4.344
angles (deg): 90.00 90.00 90.00
Sites, in units of the cell vectors:
1 I 0.000 0.000 0.000
2 N 0.000 0.500 0.000
3 N 0.500 0.000 0.000
4 Fe 0.500 0.500 0.500
5 F 0.000 0.000 0.500

Calculated values
theoretical density = 5.08 g/cm³
crystal system = tetragonal



Version 3
Here is a geometry-optimized FeIN2F structure from Alexandria via LeMat-Bulk. Energies are from PBE+U.

a b c (Å): 3.682 3.682 6.409
angles (deg): 90.00 90.00 90.00
Sites, in units of the cell vectors:
1 I 0.000 0.000 0.500
2 N 0.000 0.500 0.000
3 N 0.500 0.000 0.000
4 Fe 0.000 0.000 0.000
5 F 0.500 0.500 0.500

Calculated values
theoretical density = 4.39 g/cm³
crystal system = tetragonal



Version 4
Here is a geometry-optimized FeIN2F structure from Alexandria via LeMat-Bulk. Energies are from PBE+U.

a b c (Å): 4.207 4.207 4.740
angles (deg): 90.00 90.00 90.00
Sites, in units of the cell vectors:
1 I 0.000 0.000 0.500
2 N 0.000 0.500 0.000
3 N 0.500 0.000 0.000
4 Fe 0.500 0.500 0.500
5 F 0.000 0.000 0.000

Calculated values
theoretical density = 4.55 g/cm³
crystal system = tetragonal



In meV per atom, relative to the most stable structure: version 1 0; version 2 573; version 3 341; version 4 1417.



Version 1
Here is a geometry-optimized InFe2F8 structure from Alexandria via LeMat-Bulk. Energies are from PBE+U.

a b c (Å): 5.117 5.444 5.444
angles (deg): 75.14 101.44 101.44
Sites, in units of the cell vectors:
1 In 0.000 0.000 0.000
2 Fe 0.440 0.671 0.671
3 Fe 0.560 0.329 0.329
4 F 0.292 0.342 0.950
5 F 0.708 0.050 0.658
6 F 0.226 0.834 0.834
7 F 0.774 0.166 0.166
8 F 0.292 0.950 0.342
9 F 0.708 0.658 0.050
10 F 0.745 0.566 0.566
11 F 0.255 0.434 0.434

Calculated values
theoretical density = 4.43 g/cm³
crystal system = monoclinic



Version 2
Here is a geometry-optimized InFe2F8 structure from Alexandria via LeMat-Bulk. Energies are from PBE+U.

a b c (Å): 4.296 7.001 6.001
angles (deg): 125.72 89.72 90.03
Sites, in units of the cell vectors:
1 F 0.242 0.596 0.193
2 F 0.758 0.404 0.807
3 F 0.752 0.879 0.201
4 F 0.258 0.182 0.363
5 F 0.249 0.679 0.801
6 F 0.248 0.121 0.799
7 F 0.742 0.818 0.637
8 F 0.751 0.321 0.199
9 Fe 0.273 0.382 0.764
10 Fe 0.727 0.618 0.236
11 In 0.000 0.000 0.000

Calculated values
theoretical density = 4.29 g/cm³
crystal system = monoclinic



In meV per atom, relative to the most stable structure: version 1 14; version 2 0.